This record from the Alexandria database describes a relaxed Fe2As2O crystal. The functional is GGA+U.

## Properties
E = -24.137 eV/f.u.
ΔE to the lowest computed polymorph = 0.000 eV per atom
Magnetization = 6.93 μB/cell
V = 90 Å³/cell
DOS at the Fermi energy = 0.392 states/eV per atom

Unit cell a=5.138 b=5.138 c=4.993 alpha=59.04 beta=59.04 gamma=90.00
Sites, in units of the cell vectors:
Fe 0.750 0.250 0.500
Fe 0.250 0.750 0.500
O 0.000 0.000 0.000
As 0.713 0.713 0.574
As 0.287 0.287 0.426